[1]
Density functional theory data (PBE-GGA) for crystalline Sr2Tm2O5 at its relaxed geometry.

CIF file:
```
data_Sr2Tm2O5
_chemical_formula_sum 'Sr2 Tm2 O5'
_symmetry_space_group_name_H-M 'P 1'
_symmetry_Int_Tables_number 1
_cell_length_a 8.025
_cell_length_b 4.254
_cell_length_c 4.254
_cell_angle_alpha 90.00
_cell_angle_beta 90.00
_cell_angle_gamma 90.00
loop_
_symmetry_equiv_pos_as_xyz
'x,y,z'
loop_
_atom_site_label
_atom_site_type_symbol
_atom_site_fract_x
_atom_site_fract_y
_atom_site_fract_z
Sr1 Sr 0.000 0.000 0.000
Sr2 Sr 0.500 0.000 0.000
O1 O 0.500 0.500 0.500
O2 O 0.801 0.000 0.500
O3 O 0.199 0.000 0.500
O4 O 0.801 0.500 0.000
O5 O 0.199 0.500 0.000
Tm1 Tm 0.243 0.500 0.500
Tm2 Tm 0.757 0.500 0.500
```

Summary:
Its symmetry is P4/mmm. For the energy above the lowest structure with this stoichiometry, the calculation gives 0 meV per atom. The total magnetic moment comes out at 0.0 μB/f.u.

[2]
Density functional theory data (PBE-GGA) for crystalline K2Gd3Pb5 at its relaxed geometry.

CIF file:
```
data_K2Gd3Pb5
_chemical_formula_sum 'K2 Gd3 Pb5'
_symmetry_space_group_name_H-M 'P 1'
_symmetry_Int_Tables_number 1
_cell_length_a 13.202
_cell_length_b 13.202
_cell_length_c 4.530
_cell_angle_alpha 90.00
_cell_angle_beta 90.00
_cell_angle_gamma 157.10
loop_
_symmetry_equiv_pos_as_xyz
'x,y,z'
loop_
_atom_site_label
_atom_site_type_symbol
_atom_site_fract_x
_atom_site_fract_y
_atom_site_fract_z
Gd1 Gd 0.196 0.804 0.000
Gd2 Gd 0.804 0.196 0.000
Gd3 Gd 0.000 0.000 0.000
Pb1 Pb 0.500 0.500 0.500
Pb2 Pb 0.902 0.098 0.500
Pb3 Pb 0.098 0.902 0.500
Pb4 Pb 0.706 0.294 0.500
Pb5 Pb 0.294 0.706 0.500
K1 K 0.398 0.602 0.000
K2 K 0.602 0.398 0.000
```

Summary:
Its symmetry is Cmmm. The total magnetic moment comes out at 0.0 μB/f.u.

[3]
Density functional theory data (PBE-GGA) for crystalline SrPd3O6 at its relaxed geometry.

CIF file:
```
data_SrPd3O6
_chemical_formula_sum 'Sr2 Pd6 O12'
_symmetry_space_group_name_H-M 'P 1'
_symmetry_Int_Tables_number 1
_cell_length_a 7.143
_cell_length_b 7.143
_cell_length_c 7.143
_cell_angle_alpha 125.87
_cell_angle_beta 118.25
_cell_angle_gamma 86.60
loop_
_symmetry_equiv_pos_as_xyz
'x,y,z'
loop_
_atom_site_label
_atom_site_type_symbol
_atom_site_fract_x
_atom_site_fract_y
_atom_site_fract_z
O1 O 0.832 0.880 0.452
O2 O 0.572 0.620 0.452
O3 O 0.827 0.827 0.000
O4 O 0.572 0.120 0.951
O5 O 0.173 0.173 0.000
O6 O 0.428 0.880 0.049
O7 O 0.168 0.120 0.548
O8 O 0.832 0.380 0.951
O9 O 0.173 0.673 0.500
O10 O 0.827 0.327 0.500
O11 O 0.428 0.380 0.548
O12 O 0.168 0.620 0.049
Pd1 Pd 0.500 0.250 0.250
Pd2 Pd 0.500 0.750 0.250
Pd3 Pd 0.500 0.750 0.750
Pd4 Pd 0.000 0.750 0.250
Pd5 Pd 0.500 0.250 0.750
Pd6 Pd 0.000 0.250 0.750
Sr1 Sr 0.000 0.750 0.750
Sr2 Sr 0.000 0.250 0.250
```

Summary:
Its symmetry is Cmmm.

[4]
Density functional theory data (PBE-GGA) for crystalline ZnSi17Ge13P at its relaxed geometry.

CIF file:
```
data_ZnSi17Ge13P
_chemical_formula_sum 'Zn1 Si17 Ge13 P1'
_symmetry_space_group_name_H-M 'P 1'
_symmetry_Int_Tables_number 1
_cell_length_a 5.587
_cell_length_b 3.917
_cell_length_c 31.573
_cell_angle_alpha 90.00
_cell_angle_beta 90.15
_cell_angle_gamma 90.00
loop_
_symmetry_equiv_pos_as_xyz
'x,y,z'
loop_
_atom_site_label
_atom_site_type_symbol
_atom_site_fract_x
_atom_site_fract_y
_atom_site_fract_z
Ge1 Ge 0.491 0.500 0.189
Ge2 Ge 0.758 0.000 0.938
Ge3 Ge 0.004 0.000 0.124
Ge4 Ge 0.747 0.000 0.437
Ge5 Ge 0.998 0.000 0.501
Ge6 Ge 0.006 0.000 0.873
Ge7 Ge 0.756 0.000 0.189
Ge8 Ge 0.263 0.500 0.500
Ge9 Ge 0.493 0.500 0.937
Ge10 Ge 0.244 0.500 0.002
Ge11 Ge 0.247 0.500 0.625
Ge12 Ge 0.005 0.000 0.373
Ge13 Ge 0.243 0.500 0.751
Si1 Si 0.990 0.000 0.750
Si2 Si 0.509 0.500 0.813
Si3 Si 0.496 0.500 0.436
Si4 Si 0.003 0.000 0.252
Si5 Si 0.503 0.500 0.312
Si6 Si 0.749 0.000 0.811
Si7 Si 0.256 0.500 0.124
Si8 Si 0.510 0.500 0.564
Si9 Si 0.752 0.000 0.564
Si10 Si 0.258 0.500 0.873
Si11 Si 0.746 0.000 0.311
Si12 Si 0.504 0.500 0.064
Si13 Si 0.487 0.500 0.689
Si14 Si 0.245 0.500 0.252
Si15 Si 0.258 0.500 0.374
Si16 Si 0.993 0.000 0.002
Si17 Si 0.744 0.000 0.062
Zn1 Zn 0.754 0.000 0.687
P1 P 0.988 0.000 0.623
```

Summary:
Its symmetry is Pm. For the energy above the lowest structure with this stoichiometry, the calculation gives 8 meV per atom.

[5]
Density functional theory data (PBE-GGA) for crystalline YBeSnIr at its relaxed geometry.

CIF file:
```
data_YBeSnIr
_chemical_formula_sum 'Y1 Be1 Sn1 Ir1'
_symmetry_space_group_name_H-M 'P 1'
_symmetry_Int_Tables_number 1
_cell_length_a 4.714
_cell_length_b 4.714
_cell_length_c 4.714
_cell_angle_alpha 60.00
_cell_angle_beta 60.00
_cell_angle_gamma 60.00
loop_
_symmetry_equiv_pos_as_xyz
'x,y,z'
loop_
_atom_site_label
_atom_site_type_symbol
_atom_site_fract_x
_atom_site_fract_y
_atom_site_fract_z
Sn1 Sn 0.500 0.500 0.500
Be1 Be 0.750 0.750 0.750
Y1 Y 0.250 0.250 0.250
Ir1 Ir 0.000 0.000 0.000
```

Summary:
Its symmetry is F-43m. For the energy above the lowest structure with this stoichiometry, the calculation gives 229 meV per atom. The total magnetic moment comes out at 0.0 μB/f.u.

[6]
Density functional theory data (PBE-GGA) for crystalline YNbB at its relaxed geometry.

CIF file:
```
data_YNbB
_chemical_formula_sum 'Y1 Nb1 B1'
_symmetry_space_group_name_H-M 'P 1'
_symmetry_Int_Tables_number 1
_cell_length_a 4.511
_cell_length_b 4.511
_cell_length_c 4.511
_cell_angle_alpha 60.00
_cell_angle_beta 60.00
_cell_angle_gamma 60.00
loop_
_symmetry_equiv_pos_as_xyz
'x,y,z'
loop_
_atom_site_label
_atom_site_type_symbol
_atom_site_fract_x
_atom_site_fract_y
_atom_site_fract_z
Y1 Y 0.250 0.250 0.250
Nb1 Nb 0.000 0.000 0.000
B1 B 0.500 0.500 0.500
```

Summary:
Its symmetry is F-43m. For the energy above the lowest structure with this stoichiometry, the calculation gives 1486 meV per atom. The total magnetic moment comes out at 3.0 μB/f.u.

[7]
Density functional theory data (PBE-GGA) for crystalline CsNdMg at its relaxed geometry.

CIF file:
```
data_CsNdMg
_chemical_formula_sum 'Cs1 Nd1 Mg1'
_symmetry_space_group_name_H-M 'P 1'
_symmetry_Int_Tables_number 1
_cell_length_a 5.971
_cell_length_b 5.971
_cell_length_c 5.971
_cell_angle_alpha 60.00
_cell_angle_beta 60.00
_cell_angle_gamma 60.00
loop_
_symmetry_equiv_pos_as_xyz
'x,y,z'
loop_
_atom_site_label
_atom_site_type_symbol
_atom_site_fract_x
_atom_site_fract_y
_atom_site_fract_z
Cs1 Cs 0.250 0.250 0.250
Nd1 Nd 0.750 0.750 0.750
Mg1 Mg 0.000 0.000 0.000
```

Summary:
Its symmetry is F-43m. The total magnetic moment comes out at 1.6 μB/f.u.

[8]
Density functional theory data (PBE-GGA) for crystalline K2Pt2O5 at its relaxed geometry.

CIF file:
```
data_K2Pt2O5
_chemical_formula_sum 'K2 Pt2 O5'
_symmetry_space_group_name_H-M 'P 1'
_symmetry_Int_Tables_number 1
_cell_length_a 7.535
_cell_length_b 4.429
_cell_length_c 4.429
_cell_angle_alpha 90.00
_cell_angle_beta 90.00
_cell_angle_gamma 90.00
loop_
_symmetry_equiv_pos_as_xyz
'x,y,z'
loop_
_atom_site_label
_atom_site_type_symbol
_atom_site_fract_x
_atom_site_fract_y
_atom_site_fract_z
O1 O 0.595 0.000 0.500
O2 O 0.595 0.500 0.000
O3 O 0.405 0.000 0.500
O4 O 0.405 0.500 0.000
O5 O 0.500 0.500 0.500
K1 K 0.186 0.500 0.500
K2 K 0.814 0.500 0.500
Pt1 Pt 0.000 0.000 0.000
Pt2 Pt 0.500 0.000 0.000
```

Summary:
Its symmetry is P4/mmm. For the energy above the lowest structure with this stoichiometry, the calculation gives 1320 meV per atom. The total magnetic moment comes out at 1.1 μB/f.u.

[9]
Density functional theory data (PBE-GGA) for crystalline B3W3N7 at its relaxed geometry.

CIF file:
```
data_B3W3N7
_chemical_formula_sum 'B6 W6 N14'
_symmetry_space_group_name_H-M 'P 1'
_symmetry_Int_Tables_number 1
_cell_length_a 3.082
_cell_length_b 3.082
_cell_length_c 29.918
_cell_angle_alpha 90.00
_cell_angle_beta 90.00
_cell_angle_gamma 120.00
loop_
_symmetry_equiv_pos_as_xyz
'x,y,z'
loop_
_atom_site_label
_atom_site_type_symbol
_atom_site_fract_x
_atom_site_fract_y
_atom_site_fract_z
N1 N 0.333 0.667 0.175
N2 N 0.000 0.000 0.399
N3 N 0.667 0.333 0.538
N4 N 0.000 0.000 0.606
N5 N 0.667 0.333 0.962
N6 N 0.000 0.000 0.246
N7 N 0.667 0.333 0.852
N8 N 0.000 0.000 0.746
N9 N 0.000 0.000 0.106
N10 N 0.333 0.667 0.462
N11 N 0.667 0.333 0.675
N12 N 0.333 0.667 0.352
N13 N 0.333 0.667 0.039
N14 N 0.000 0.000 0.899
W1 W 0.333 0.667 0.249
W2 W 0.667 0.333 0.749
W3 W 0.000 0.000 0.822
W4 W 0.000 0.000 0.499
W5 W 0.000 0.000 0.322
W6 W 0.000 0.000 0.999
B1 B 0.000 0.000 0.657
B2 B 0.667 0.333 0.589
B3 B 0.667 0.333 0.907
B4 B 0.333 0.667 0.089
B5 B 0.000 0.000 0.157
B6 B 0.333 0.667 0.407
```

Summary:
Its symmetry is P6_3mc. The total magnetic moment comes out at 0.0 μB/f.u.

[10]
Density functional theory data (PBE-GGA) for crystalline HgPbSO at its relaxed geometry.

CIF file:
```
data_HgPbSO
_chemical_formula_sum 'Hg2 Pb2 S2 O2'
_symmetry_space_group_name_H-M 'P 1'
_symmetry_Int_Tables_number 1
_cell_length_a 7.709
_cell_length_b 7.709
_cell_length_c 6.106
_cell_angle_alpha 90.00
_cell_angle_beta 90.00
_cell_angle_gamma 30.07
loop_
_symmetry_equiv_pos_as_xyz
'x,y,z'
loop_
_atom_site_label
_atom_site_type_symbol
_atom_site_fract_x
_atom_site_fract_y
_atom_site_fract_z
Pb1 Pb 0.666 0.666 0.468
Pb2 Pb 0.334 0.334 0.968
Hg1 Hg 0.938 0.938 0.435
Hg2 Hg 0.062 0.062 0.935
O1 O 0.918 0.918 0.005
O2 O 0.082 0.082 0.505
S1 S 0.665 0.665 0.984
S2 S 0.335 0.335 0.484
```

Summary:
Its symmetry is Cmc2_1. For the energy above the lowest structure with this stoichiometry, the calculation gives 38 meV per atom.

[11]
Density functional theory data (PBE-GGA) for crystalline MgHg2SO6 at its relaxed geometry.

CIF file:
```
data_MgHg2SO6
_chemical_formula_sum 'Mg1 Hg2 S1 O6'
_symmetry_space_group_name_H-M 'P 1'
_symmetry_Int_Tables_number 1
_cell_length_a 5.271
_cell_length_b 5.271
_cell_length_c 5.271
_cell_angle_alpha 60.00
_cell_angle_beta 60.00
_cell_angle_gamma 60.00
loop_
_symmetry_equiv_pos_as_xyz
'x,y,z'
loop_
_atom_site_label
_atom_site_type_symbol
_atom_site_fract_x
_atom_site_fract_y
_atom_site_fract_z
O1 O 0.274 0.726 0.726
O2 O 0.726 0.274 0.726
O3 O 0.274 0.274 0.726
O4 O 0.726 0.726 0.274
O5 O 0.274 0.726 0.274
O6 O 0.726 0.274 0.274
Mg1 Mg 0.000 0.000 0.000
Hg1 Hg 0.750 0.750 0.750
Hg2 Hg 0.250 0.250 0.250
S1 S 0.500 0.500 0.500
```

Summary:
Its symmetry is Fm-3m.

| no. | E (eV per atom) |
| --- | --- |
| 1 | -7.198 |
| 2 | -3.720 |
| 3 | -5.617 |
| 4 | -4.935 |
| 5 | -5.806 |
| 6 | -6.006 |
| 7 | -1.620 |
| 8 | -3.679 |
| 9 | -8.887 |
| 10 | -3.750 |
| 11 | -4.333 |